Below is a geometry-optimized AcCdTeO6 structure, with properties calculated at the PBE-GGA level.

a b c (Å): 6.0987 6.0987 8.1413
angles (deg): 90.00 90.00 120.00
Element x y z (fractional)
Ac1 0.3333 0.6667 0.2500
Ac2 0.6667 0.3333 0.7500
Cd1 0.0000 0.0000 0.0000
Cd2 0.0000 0.0000 0.5000
Te1 0.3333 0.6667 0.7500
Te2 0.6667 0.3333 0.2500
O1 0.0732 0.3903 0.6187
O2 0.0732 0.6829 0.8813
O3 0.3171 0.3903 0.8813
O4 0.3171 0.9268 0.6187
O5 0.3903 0.0732 0.1187
O6 0.3903 0.3171 0.3813
O7 0.6097 0.6829 0.6187
O8 0.6097 0.9268 0.8813
O9 0.6829 0.0732 0.3813
O10 0.6829 0.6097 0.1187
O11 0.9268 0.3171 0.1187
O12 0.9268 0.6097 0.3813

Summary:
The magnetic moment comes out at 0.114 μB/atom. The value obtained for the density of states at the Fermi level is 0.2615 states/eV/atom. The calculation puts the raw formation energy at -1519 meV per atom. Its crystal system is trigonal.


Below is a geometry-optimized Ac2CdTeO6 structure, with properties calculated at the PBE-GGA level.

a b c (Å): 6.1180 6.1180 6.1180
angles (deg): 60.83 60.83 60.83
Element x y z (fractional)
Ac1 0.0000 0.0000 0.0000
Ac2 0.4899 0.4899 0.4899
Cd1 0.2274 0.2274 0.2274
Te1 0.7210 0.7210 0.7210
O1 0.0844 0.4257 0.8566
O2 0.3925 0.9201 0.5871
O3 0.4257 0.8566 0.0844
O4 0.5871 0.3925 0.9201
O5 0.8566 0.0844 0.4257
O6 0.9201 0.5871 0.3925

Summary:
The magnetic moment comes out at 0.000 μB/atom. The value obtained for the density of states at the Fermi level is 0.0000 states/eV/atom. The calculation puts the raw formation energy at -2171 meV per atom. Its crystal system is trigonal.


Below is a geometry-optimized AcCd2TeO6 structure, with properties calculated at the PBE-GGA level.

a b c (Å): 6.1973 6.1973 6.1973
angles (deg): 56.67 56.67 56.67
Element x y z (fractional)
Ac1 0.0000 0.0000 0.0000
Cd1 0.2169 0.2169 0.2169
Cd2 0.7327 0.7327 0.7327
Te1 0.5149 0.5149 0.5149
O1 0.1478 0.4172 0.7760
O2 0.3362 0.8719 0.5883
O3 0.4172 0.7760 0.1478
O4 0.5883 0.3362 0.8719
O5 0.7760 0.1478 0.4172
O6 0.8719 0.5883 0.3362

Summary:
The magnetic moment comes out at 0.049 μB/atom. The value obtained for the density of states at the Fermi level is 0.3669 states/eV/atom. The calculation puts the raw formation energy at -1591 meV per atom. Its crystal system is trigonal.


Below is a geometry-optimized AcCdTe2O8 structure, with properties calculated at the PBE-GGA level.

a b c (Å): 6.4775 6.4775 6.4775
angles (deg): 107.19 107.19 114.13
Element x y z (fractional)
Ac1 0.0000 0.0000 0.0000
Cd1 0.2500 0.7500 0.5000
Te1 0.5000 0.5000 0.0000
Te2 0.7500 0.2500 0.5000
O1 0.3216 0.1344 0.8128
O2 0.3216 0.5088 0.1872
O3 0.3929 0.0738 0.3191
O4 0.4912 0.6784 0.8128
O5 0.7546 0.0738 0.6809
O6 0.8656 0.6784 0.1872
O7 0.9262 0.2454 0.3191
O8 0.9262 0.6071 0.6809

Summary:
The magnetic moment comes out at 0.000 μB/atom. The value obtained for the density of states at the Fermi level is 0.2907 states/eV/atom. The calculation puts the raw formation energy at -1400 meV per atom. Its crystal system is tetragonal.


Below is a geometry-optimized AcCdTeO structure, with properties calculated at the PBE-GGA level.

a b c (Å): 4.3481 4.3481 11.2955
angles (deg): 90.00 90.00 90.00
Element x y z (fractional)
Ac1 0.2500 0.2500 0.1089
Ac2 0.7500 0.7500 0.8911
Cd1 0.2500 0.7500 0.5000
Cd2 0.7500 0.2500 0.5000
Te1 0.2500 0.2500 0.7177
Te2 0.7500 0.7500 0.2823
O1 0.2500 0.7500 0.0000
O2 0.7500 0.2500 0.0000

Summary:
The magnetic moment comes out at 0.002 μB/atom. The value obtained for the density of states at the Fermi level is 1.1196 states/eV/atom. The calculation puts the raw formation energy at -1757 meV per atom. Its crystal system is tetragonal.


Below is a geometry-optimized AcTi2Cd2O7 structure, with properties calculated at the PBE-GGA level.

a b c (Å): 9.5394 9.5394 9.5394
angles (deg): 156.70 39.29 148.82
Element x y z (fractional)
Ac1 0.0000 0.0000 0.0000
Ti1 0.4333 0.0347 0.3987
Ti2 0.6360 0.0347 0.6013
Cd1 0.2777 0.5530 0.7247
Cd2 0.8282 0.5530 0.2753
O1 0.0931 0.6832 0.4099
O2 0.2733 0.6832 0.5901
O3 0.3923 0.0999 0.2925
O4 0.5211 0.6177 0.9034
O5 0.6961 0.1961 0.5000
O6 0.7144 0.6177 0.0966
O7 0.8074 0.0999 0.7075

Summary:
The magnetic moment comes out at 0.000 μB/atom. The value obtained for the density of states at the Fermi level is 0.1844 states/eV/atom. The calculation puts the raw formation energy at -2450 meV per atom. Its crystal system is orthorhombic.


Below is a geometry-optimized AcTlCdO4 structure, with properties calculated at the PBE-GGA level.

a b c (Å): 6.1266 6.1266 7.5877
angles (deg): 90.00 90.00 115.23
Element x y z (fractional)
Ac1 0.0000 0.0000 0.0000
Ac2 0.0000 0.0000 0.5000
Tl1 0.3421 0.6579 0.7500
Tl2 0.6579 0.3421 0.2500
Cd1 0.3442 0.6558 0.2500
Cd2 0.6558 0.3442 0.7500
O1 0.2398 0.7602 0.5030
O2 0.2398 0.7602 0.9970
O3 0.2527 0.2602 0.7500
O4 0.2602 0.2527 0.2500
O5 0.7398 0.7473 0.7500
O6 0.7473 0.7398 0.2500
O7 0.7602 0.2398 0.0030
O8 0.7602 0.2398 0.4970

Summary:
The magnetic moment comes out at 0.000 μB/atom. The calculation puts the raw formation energy at -1663 meV per atom. Its crystal system is orthorhombic.


Below is a geometry-optimized Ac2TlCdO5 structure, with properties calculated at the PBE-GGA level.

a b c (Å): 7.7165 7.7165 11.4648
angles (deg): 90.00 90.00 151.91
Element x y z (fractional)
Ac1 0.1295 0.8705 0.5000
Ac2 0.1340 0.8660 0.9657
Ac3 0.8660 0.1340 0.4657
Ac4 0.8705 0.1295 0.0000
Tl1 0.4902 0.5098 0.7280
Tl2 0.5098 0.4902 0.2280
Cd1 0.2301 0.7699 0.2332
Cd2 0.7699 0.2301 0.7332
O1 0.0847 0.9153 0.2857
O2 0.2838 0.7163 0.5986
O3 0.2909 0.7091 0.9176
O4 0.3628 0.6372 0.3155
O5 0.4981 0.5019 0.0183
O6 0.5019 0.4981 0.5183
O7 0.6372 0.3628 0.8155
O8 0.7091 0.2909 0.4176
O9 0.7163 0.2838 0.0986
O10 0.9153 0.0847 0.7857

Summary:
The magnetic moment comes out at 0.000 μB/atom. The value obtained for the density of states at the Fermi level is 0.2129 states/eV/atom. The calculation puts the raw formation energy at -2074 meV per atom. Its crystal system is orthorhombic.


Below is a geometry-optimized AcU2CdO8 structure, with properties calculated at the PBE-GGA level.

a b c (Å): 6.6934 6.6934 6.6934
angles (deg): 130.84 130.84 72.06
Element x y z (fractional)
Ac1 0.0000 0.0000 0.0000
U1 0.5000 0.5000 0.0000
U2 0.7500 0.2500 0.5000
Cd1 0.2500 0.7500 0.5000
O1 0.0961 0.1287 0.5125
O2 0.1547 0.6015 0.9767
O3 0.3985 0.3752 0.5532
O4 0.4164 0.9039 0.0326
O5 0.6162 0.5836 0.4875
O6 0.6248 0.1780 0.0233
O7 0.8220 0.8453 0.4468
O8 0.8713 0.3838 0.9674

Summary:
The magnetic moment comes out at 0.088 μB/atom. The value obtained for the density of states at the Fermi level is 0.6199 states/eV/atom. The calculation puts the raw formation energy at -2829 meV per atom. Its crystal system is tetragonal.


Below is a geometry-optimized Ac2UCdO8 structure, with properties calculated at the PBE-GGA level.

a b c (Å): 4.1671 5.4887 8.1354
angles (deg): 87.29 89.83 89.02
Element x y z (fractional)
Ac1 0.0012 0.0185 0.2534
Ac2 0.9988 0.9815 0.7466
U1 0.5000 0.5000 0.5000
Cd1 0.5000 0.5000 0.0000
O1 0.0068 0.7106 0.5075
O2 0.0276 0.7266 0.0170
O3 0.4933 0.2343 0.6840
O4 0.4947 0.2940 0.2816
O5 0.5053 0.7060 0.7184
O6 0.5067 0.7657 0.3160
O7 0.9724 0.2734 0.9830
O8 0.9932 0.2894 0.4925

Summary:
The magnetic moment comes out at 0.172 μB/atom. The value obtained for the density of states at the Fermi level is 0.3867 states/eV/atom. The calculation puts the raw formation energy at -2511 meV per atom. Its crystal system is triclinic.


What is the formula in the eighth record?
Ac2TlCdO5